This record from OQMD describes a relaxed structure of SrAgNO. The functional is PBE.

POSCAR file:
```
SrAgNO
1.0
7.0809 0.0000 0.0000
0.0000 6.7185 0.0000
0.0000 0.0000 5.4417
Sr Ag N O
4 4 4 4
direct
0.0955 0.2192 0.0000
0.4045 0.2192 0.5000
0.5955 0.7808 0.0000
0.9045 0.7808 0.5000
0.1500 0.6794 0.0119
0.3500 0.6794 0.5119
0.6500 0.3206 0.0119
0.8500 0.3206 0.5119
0.0547 0.1212 0.4717
0.4453 0.1212 0.9717
0.5547 0.8788 0.4717
0.9453 0.8788 0.9717
0.1321 0.4918 0.6642
0.3679 0.4918 0.1642
0.6321 0.5082 0.6642
0.8679 0.5082 0.1642
```

Computed properties:
Raw total energy ... -4.604 eV/atom
Energy above the lowest structure with this stoichiometry ... 25.32 kJ/mol of atoms